Entry 1:
Here is Ca3Mg2Hg4Au2 after structural relaxation from Alexandria. Energies are from PBE.

Structure (extended XYZ):
```
11
Lattice="-0.9188 4.7679 -0.4771 -2.7297 -2.7232 2.9895 8.6497 2.7036 10.3608" Properties=species:S:1:pos:R:3 pbc="T T T"
Hg 1.0623 0.7704 5.6530
Hg 5.4053 2.1279 10.8552
Hg 3.9390 3.9779 7.2201
Hg -0.4041 2.6204 2.0180
Ca 2.2355 0.6987 2.6777
Ca 0.0000 0.0000 0.0000
Ca 6.4142 2.0049 7.6831
Mg 2.1666 3.4239 5.0972
Mg 2.8346 1.3244 7.7760
Au 5.9421 4.6040 9.6195
Au -0.9408 0.1443 3.2537
```

Results
Energy relative to the elements   -0.428 eV per atom

***

Entry 2:
Here is ErThSe2 after structural relaxation from Alexandria. Energies are from PBE.

Structure (extended XYZ):
```
4
Lattice="3.8734 0.0000 0.0000 1.9367 3.3545 0.0000 1.9367 1.1182 7.7041" Properties=species:S:1:pos:R:3 pbc="T T T"
Er 3.8734 2.2363 3.9075
Se 1.9367 1.1182 5.6518
Se 1.9367 1.1182 2.0418
Th 5.8101 3.3545 7.6593
```

Results
Energy above the lowest structure with this stoichiometry   55.1 meV per atom
Raw formation energy   -603.2 kJ/mol of formula units

***

Entry 3:
Here is Al2CdTeO6 after structural relaxation from Alexandria. Energies are from PBE.

Structure (extended XYZ):
```
20
Lattice="5.7601 -0.1933 -0.2006 1.6164 6.7056 0.2993 1.6164 0.0506 6.7121" Properties=species:S:1:pos:R:3 pbc="T T T"
Al 2.3489 2.5390 1.4391
Al 5.2289 1.2474 2.4903
Al 6.6440 4.0239 5.3717
Al 3.7639 5.3155 4.3205
O 4.2962 5.7455 2.6725
O 5.0957 5.0073 0.1922
O 1.8166 4.2018 1.0704
O 1.1503 1.9283 2.5749
O 3.8971 1.5556 6.6186
O 4.6967 0.8174 4.1383
O 4.9625 4.1578 4.8887
O 7.1763 2.3611 5.7403
O 4.0303 2.4051 1.9221
O 6.7772 6.4598 1.6995
O 2.2157 0.1031 5.1113
O 7.8426 4.6346 4.2359
Te 3.0564 1.8857 4.8470
Te 5.9365 4.6772 1.9638
Cd 5.9365 0.5295 5.9605
Cd 3.0564 6.0334 0.8503
```

Results
Raw formation energy   -1932.4 kJ/mol of formula units

***

Entry 4:
Here is Ba2MnSnSe5 after structural relaxation from Alexandria. Energies are from PBE.

Structure (extended XYZ):
```
18
Lattice="4.1932 0.0000 0.0000 -2.0966 9.7443 0.0000 0.0000 0.0000 13.1635" Properties=species:S:1:pos:R:3 pbc="T T T"
Sn 2.0966 0.0316 12.7316
Sn 0.0000 9.7127 6.1499
Se 0.0000 5.6170 8.3451
Se 2.0966 3.8891 11.5402
Se 0.0000 1.2539 0.6232
Se 2.0966 2.4857 6.7018
Se 2.0966 8.4904 7.2049
Se 2.0966 4.1273 1.7633
Se 2.0966 0.0717 3.6041
Se 0.0000 5.8552 4.9585
Se 0.0000 7.2586 0.1200
Se 0.0000 9.6726 10.1858
Ba 2.0966 6.9715 10.4953
Ba 0.0000 2.7729 3.9136
Ba 2.0966 7.2515 2.8097
Ba 0.0000 2.4929 9.3915
Mn 2.0966 5.8543 6.6492
Mn 0.0000 3.8900 0.0675
```

Results
Raw formation energy   -951.5 kJ/mol of formula units

***

Entry 5:
Here is Rb2TcO4 after structural relaxation from Alexandria. Energies are from PBE.

Structure (extended XYZ):
```
14
Lattice="5.6879 0.0000 -1.8213 0.0000 6.5444 0.0000 0.1956 0.0000 8.1057" Properties=species:S:1:pos:R:3 pbc="T T T"
O 4.2695 0.1947 1.1030
O 4.2695 3.0776 1.1030
O 1.6139 3.4669 5.1814
O 4.5514 1.6361 -1.3977
O 4.7592 4.9083 4.0805
O 1.3321 4.9083 7.6821
O 1.1242 1.6361 2.2039
O 1.6139 6.3498 5.1814
Rb 1.7887 1.6361 7.4772
Rb 2.3513 4.9083 2.3930
Rb 3.5321 1.6361 3.8914
Rb 4.0947 4.9083 -1.1929
Tc 0.8570 4.9083 5.9277
Tc 5.0264 1.6361 0.3567
```

Results
Energy above the lowest structure with this stoichiometry   6.0 meV per atom
Raw formation energy   -1103.4 kJ/mol of formula units

***

Entry 6:
Here is KRbPb3 after structural relaxation from Alexandria. Energies are from PBE.

Structure (extended XYZ):
```
5
Lattice="6.1963 0.0000 0.0000 0.0000 6.1963 0.0000 0.0000 0.0000 6.1963" Properties=species:S:1:pos:R:3 pbc="T T T"
Pb 3.0981 0.0000 0.0000
Pb 0.0000 0.0000 3.0981
Pb 0.0000 3.0981 0.0000
K 0.0000 0.0000 0.0000
Rb 3.0981 3.0981 3.0981
```

Results
Energy relative to the elements   0.547 eV per atom
Energy above the lowest structure with this stoichiometry   0.0 meV per atom

***

Entry 7:
Here is NpAl7Zn5 after structural relaxation from Alexandria. Energies are from PBE.

Structure (extended XYZ):
```
13
Lattice="-2.4610 -3.0128 3.4775 2.2996 -6.5542 -0.1363 3.2503 -0.0871 6.1394" Properties=species:S:1:pos:R:3 pbc="T T T"
Al 0.4834 -2.2827 2.2791
Al 2.6232 -4.2753 2.0671
Al 1.8131 -2.9581 6.5496
Al 1.2644 -6.6908 2.9273
Al 0.3726 -4.2962 4.3708
Al 2.9053 -2.3563 3.9293
Al 2.7218 -5.3603 5.1114
Np -2.4187 -3.0320 3.4908
Zn 2.6087 -7.3728 7.2025
Zn 3.9235 -6.5801 2.9445
Zn 4.3946 -3.3754 6.0544
Zn 3.1621 -4.8842 7.7960
Zn 2.6910 -8.0889 4.6861
```

Results
Energy relative to the elements   -0.030 eV per atom

***

Entry 8:
Here is Eu2NiAu after structural relaxation from Alexandria. Energies are from PBE.

Structure (extended XYZ):
```
4
Lattice="3.5965 0.0000 0.0000 0.0000 3.5965 0.0000 0.0000 0.0000 7.3871" Properties=species:S:1:pos:R:3 pbc="T T T"
Eu 0.0000 0.0000 5.6659
Eu 0.0000 0.0000 1.7212
Au 1.7982 1.7982 3.6935
Ni 1.7982 1.7982 0.0000
```

Results
Energy relative to the elements   -0.398 eV per atom
Energy above the lowest structure with this stoichiometry   0.0 meV per atom

***

Entry 9:
Here is IrWCl2 after structural relaxation from Alexandria. Energies are from PBE.

Structure (extended XYZ):
```
4
Lattice="6.9039 -0.0073 0.0194 6.2687 2.8928 0.0194 0.4059 0.0889 4.5858" Properties=species:S:1:pos:R:3 pbc="T T T"
Cl 8.2752 1.8127 2.1381
Cl 11.6866 2.5599 0.2129
Ir 10.1838 2.2307 3.4684
W 3.3946 0.7436 1.1561
```

Results
Energy above the lowest structure with this stoichiometry   452.4 meV per atom
Raw formation energy   103.1 kJ/mol of formula units

***

Entry 10:
Here is SrUI5 after structural relaxation from Alexandria. Energies are from PBE.

Structure (extended XYZ):
```
14
Lattice="-1.9161 7.9348 -0.9571 -3.8702 -2.4020 -6.8411 -6.4476 -4.8770 9.3326" Properties=species:S:1:pos:R:3 pbc="T T T"
I -10.5356 -1.2356 3.3272
I -7.7296 1.2935 5.9204
I -1.6984 1.8914 -1.7929
I -5.9114 2.0248 -1.4530
I -5.5980 3.1504 2.7753
I -6.6360 -2.4945 -1.2409
I -7.8469 -5.3555 1.7225
I -4.5045 -0.6377 -4.3860
I -4.3872 6.0114 -0.1881
I -6.3226 -1.3690 2.9874
U 0.0000 0.0000 0.0000
U -5.1589 -3.6395 1.2458
Sr -6.4907 1.9201 -4.6482
Sr -5.7433 -1.2643 6.1826
```

Results
Raw formation energy   -749.9 kJ/mol of formula units

***

Entry 11:
Here is SrCoTcAs2 after structural relaxation from Alexandria. Energies are from PBE.

Structure (extended XYZ):
```
5
Lattice="-2.5656 -3.1228 -0.5117 -0.2334 -0.4702 4.0398 -3.1807 5.5316 -1.5940" Properties=species:S:1:pos:R:3 pbc="T T T"
Tc -3.5729 0.3062 -0.1708
Co -2.4068 1.6325 2.1050
As -2.7001 -0.7358 1.8124
As -3.2795 2.6744 0.1218
Sr 0.0000 0.0000 0.0000
```

Results
Energy relative to the elements   -0.580 eV per atom

***

Entry 12:
Here is CrIrPb2 after structural relaxation from Alexandria. Energies are from PBE.

Structure (extended XYZ):
```
4
Lattice="4.5779 0.0209 -0.0036 -0.0214 4.5779 -0.0036 0.0029 0.0029 3.8741" Properties=species:S:1:pos:R:3 pbc="T T T"
Pb 0.0000 0.0000 0.0000
Pb 2.2783 2.2994 -0.0036
Ir -0.0093 2.2904 1.9353
Cr 2.2904 0.0119 1.9353
```

Results
Energy relative to the elements   0.567 eV per atom
Energy above the lowest structure with this stoichiometry   310.2 meV per atom

***

V
In order: 25.797; 25.025; 13.166; 29.881; 21.718; 47.579; 16.639; 23.887; 22.943; 52.874; 19.625; 20.299
Unit: Å³/atom
Fermi-level density of states
In order: 6.5; 3.8; 0.0; 4.5; 12.1; 3.7; 9.5; 17.0; 1.9; 1.2; 2.7; 2.4
Unit: states/eV/cell